1.
Ca2CePb5 | PBE-GGA | relaxed

Cell: 6.8220 6.8220 6.8220 Å, 107.40 107.40 113.70°
With the nearest neighbours (Å) after each atom.
Fractional coordinates of all 8 atoms:
Ca (0.2778, 0.7780, 0.5001)  8 Pb 3.41, 2 Ca 3.73
Ca (0.7777, 0.2779, 0.4999)  8 Pb 3.41, 2 Ca 3.73
Ce (0.7782, 0.7781, 0.0000)  10 Pb 3.41-3.73
Pb (0.2779, 0.2781, 0.5003)  4 Pb 3.41-3.73, 4 Ca 3.41, 2 Ce 3.41
Pb (0.2780, 0.7776, 0.0000)  4 Pb 3.41-3.73, 4 Ca 3.41, 2 Ce 3.41
Pb (0.7779, 0.2780, 0.0000)  2 Ce 3.41, 4 Pb 3.41-3.73, 4 Ca 3.41
Pb (0.7777, 0.7779, 0.4997)  4 Pb 3.41-3.73, 4 Ca 3.41, 2 Ce 3.41
Pb (0.2778, 0.2776, 0.0000)  8 Pb 3.41, 2 Ce 3.73

Values from the calculation:
Crystal system: tetragonal
Formation energy in meV/atom: -378
Symmetry: I4/mmm
Fermi-level density of states in states/eV per atom: 0.9222



2.
Ga2Ni7B2 | PBE-GGA | relaxed

Cell: 4.8859 6.2375 4.8859 Å, 99.13 119.67 80.87°
With the nearest neighbours (Å) after each atom.
Fractional coordinates of all 11 atoms:
Ga (0.6678, 0.9999, 0.3322)  6 Ni 2.42-2.44
Ga (0.3322, 0.0001, 0.6678)  6 Ni 2.42-2.44
Ni (0.9587, 0.3221, 0.5366)  1 B 1.96
Ni (0.5366, 0.6779, 0.9587)  1 B 1.96
Ni (0.0413, 0.6779, 0.4634)  1 B 1.96
Ni (0.4634, 0.3221, 0.0413)  1 B 1.96
Ni (0.0000, 0.0000, 0.0000)  6 Ga 2.81-2.83, 4 Ni 3.11
Ni (0.5411, 0.6782, 0.4589)  2 B 2.02
Ni (0.4589, 0.3218, 0.5411)  2 B 2.02
B (0.8260, 0.5000, 0.8260)  1 B 1.71
B (0.1740, 0.5000, 0.1740)  1 B 1.71

Values from the calculation:
Crystal system: monoclinic
Formation energy in meV/atom: -10
Symmetry: C2/m
Fermi-level density of states in states/eV per atom: 0.5249



3.
Nd3CdOs | PBE-GGA | relaxed

Cell: 6.0910 6.0910 8.8204 Å, 102.09 102.09 113.17°
With the nearest neighbours (Å) after each atom.
Fractional coordinates of all 10 atoms:
Nd (0.2987, 0.7987, 0.0974)  4 Os 3.15, 2 Nd 3.47
Nd (0.7013, 0.2013, 0.9026)  4 Os 3.15, 2 Nd 3.47
Nd (0.0832, 0.1979, 0.2810)  2 Os 2.90
Nd (0.9168, 0.8021, 0.7190)  2 Os 2.90
Nd (0.6979, 0.5832, 0.2810)  2 Os 2.90
Nd (0.3021, 0.4168, 0.7190)  2 Os 2.90
Cd (0.7054, 0.2054, 0.5000)  1 Cd 2.76
Cd (0.2946, 0.7946, 0.5000)  1 Cd 2.76
Os (0.2500, 0.2500, 0.0000)  8 Nd 2.90-3.15
Os (0.7500, 0.7500, 0.0000)  8 Nd 2.90-3.15

Values from the calculation:
Crystal system: orthorhombic
Formation energy in meV/atom: -187
Symmetry: Fmmm
Excess energy over the best structure of this formula in the dataset in eV/atom: 0.0000
Fermi-level density of states in states/eV per atom: 0.7565



4.
LaTb4Tl5 | PBE-GGA | relaxed

Cell: 3.7928 3.7928 19.7013 Å, 90.00 90.00 90.00°
With the nearest neighbours (Å) after each atom.
Fractional coordinates of all 10 atoms:
La (0.0000, 0.0000, 0.0000)  8 Tl 3.45, 4 La 3.79
Tb (0.0000, 0.0000, 0.2076)  8 Tl 3.29-3.31
Tb (0.0000, 0.0000, 0.4027)  8 Tl 3.29-3.30
Tb (0.0000, 0.0000, 0.5973)  8 Tl 3.29-3.30
Tb (0.0000, 0.0000, 0.7924)  8 Tl 3.29-3.31
Tl (0.5000, 0.5000, 0.1105)  4 Tb 3.29, 4 La 3.45
Tl (0.5000, 0.5000, 0.3057)  8 Tb 3.29-3.31
Tl (0.5000, 0.5000, 0.5000)  8 Tb 3.30
Tl (0.5000, 0.5000, 0.6943)  8 Tb 3.29-3.31
Tl (0.5000, 0.5000, 0.8895)  4 Tb 3.29, 4 La 3.45

Values from the calculation:
Crystal system: tetragonal
Formation energy in meV/atom: -371
Symmetry: P4/mmm
Fermi-level density of states in states/eV per atom: 0.8079